1.
First-principles (GGA-PBE) data for crystalline UTeCl3 at its relaxed geometry, as listed in the Alexandria database.

uncorrected formation energy	-1.336	eV per atom

Unit cell a=7.148 b=7.846 c=13.754 alpha=90.00 beta=96.64 gamma=90.00
Fractional coordinates of all 20 atoms:
U: 0.082 0.125 0.133
U: 0.082 0.875 0.633
U: 0.918 0.125 0.367
U: 0.918 0.875 0.867
Te: 0.176 0.412 0.300
Te: 0.176 0.588 0.800
Te: 0.824 0.412 0.200
Te: 0.824 0.588 0.700
Cl: 0.133 0.178 0.541
Cl: 0.133 0.822 0.041
Cl: 0.225 0.040 0.798
Cl: 0.225 0.960 0.298
Cl: 0.367 0.246 0.065
Cl: 0.367 0.754 0.565
Cl: 0.633 0.246 0.435
Cl: 0.633 0.754 0.935
Cl: 0.775 0.040 0.702
Cl: 0.775 0.960 0.202
Cl: 0.867 0.178 0.959
Cl: 0.867 0.822 0.459

2.
First-principles (GGA-PBE) data for crystalline Ca2Ag2OsO6 at its relaxed geometry, as listed in the Alexandria database.

uncorrected formation energy	-1.387	eV per atom

Unit cell a=5.669 b=5.669 c=6.280 alpha=102.65 beta=102.65 gamma=117.58
Fractional coordinates of all 11 atoms:
Ca: 0.163 0.837 0.000
Ca: 0.837 0.163 0.000
Ag: 0.315 0.685 0.500
Ag: 0.685 0.315 0.500
Os: 0.500 0.500 0.000
O: 0.130 0.419 0.813
O: 0.315 0.315 0.203
O: 0.419 0.130 0.813
O: 0.581 0.870 0.187
O: 0.685 0.685 0.797
O: 0.870 0.581 0.187

3.
First-principles (GGA-PBE) data for crystalline ZrZn3Ni at its relaxed geometry, as listed in the Alexandria database.

E_form	1432.0	meV per atom

Unit cell a=5.139 b=5.139 c=5.139 alpha=90.00 beta=90.00 gamma=90.00
Fractional coordinates of all 5 atoms:
Zr: 0.000 0.000 0.000
Zn: 0.000 0.000 0.500
Zn: 0.000 0.500 0.000
Zn: 0.500 0.000 0.000
Ni: 0.500 0.500 0.500

4.
First-principles (GGA-PBE) data for crystalline Na2PrMnTe4 at its relaxed geometry, as listed in the Alexandria database.

uncorrected formation energy	-0.821	eV per atom

Unit cell a=7.524 b=4.368 c=7.982 alpha=90.00 beta=108.27 gamma=90.00
Fractional coordinates of all 8 atoms:
Na: 0.000 0.000 0.000
Na: 0.500 0.500 0.000
Pr: 0.000 0.500 0.500
Mn: 0.500 0.000 0.500
Te: 0.274 0.000 0.730
Te: 0.286 0.500 0.283
Te: 0.714 0.500 0.717
Te: 0.726 0.000 0.270